[1]
The following is a PBE calculation of crystalline CrCd2Mo at its relaxed geometry, from Alexandria.

a b c (Å): 5.522 8.966 2.863
angles (deg): 90.00 93.00 90.00
Space group C2/m (No. 12)
Asymmetric unit:
1 Cr 0.000 0.000 0.000
2 Cd 0.250 0.250 0.500
3 Mo 0.000 0.500 0.000

The value obtained for the total energy is -5.02 eV per atom. As for the energy above the most stable polymorph in this dataset: 1.01 eV per formula unit.

***

[2]
The following is a PBE calculation of crystalline CrCd2Mo at its relaxed geometry, from Alexandria.

a b c (Å): 2.876 4.468 5.548
angles (deg): 90.00 91.60 90.00
Space group P2/m (No. 10)
Asymmetric unit:
1 Cr 0.000 0.000 0.000
2 Cd 0.495 0.500 0.249
3 Mo 0.000 0.000 0.500

The value obtained for the total energy is -5.03 eV per atom. As for the energy above the most stable polymorph in this dataset: 0.96 eV per formula unit.